(1)
Crystalline Li2AlHgF8 at its relaxed geometry, computed with PBE-GGA.

The structure in POSCAR format:
```
Li2AlHgF8
1.0
4.647 -0.094 -0.003
-0.074 4.645 -0.005
0.004 0.007 6.537
Li Al Hg F
2 1 1 8
Direct
0.500 0.500 0.786
0.500 0.500 0.214
0.000 0.000 0.000
0.000 0.000 0.500
0.191 0.808 0.206
0.720 0.722 0.000
0.809 0.192 0.206
0.809 0.192 0.794
0.280 0.278 0.000
0.191 0.808 0.794
0.678 0.679 0.500
0.322 0.321 0.500
```

Values from the calculation:
The raw formation energy is -2.53 eV/atom. The space group is Cmmm.


(2)
Crystalline BaAc2Hg7 at its relaxed geometry, computed with PBE-GGA.

The structure in POSCAR format:
```
BaAc2Hg7
1.0
5.433 0.000 0.000
-2.717 4.705 0.000
0.000 0.000 12.648
Ba Ac Hg
1 2 7
Direct
0.000 0.000 0.970
0.667 0.333 0.394
0.333 0.667 0.622
0.333 0.667 0.345
0.333 0.667 0.110
0.000 0.000 0.264
0.000 0.000 0.526
0.667 0.333 0.762
0.667 0.333 0.123
0.333 0.667 0.869
```

Values from the calculation:
The space group is P3m1. The energy of formation from the pure elements comes out at -362 meV per atom.


(3)
Crystalline Te2RhW at its relaxed geometry, computed with PBE-GGA.

The structure in POSCAR format:
```
Te2RhW
1.0
8.131 -1.676 0.002
8.131 1.676 0.002
7.785 0.000 2.883
Te Rh W
2 1 1
Direct
0.751 0.751 0.751
0.249 0.249 0.249
0.000 0.000 0.000
0.500 0.500 0.500
```

Values from the calculation:
The raw formation energy is 0.33 eV/atom. The space group is R-3m.


(4)
Crystalline ZnCoTeN2 at its relaxed geometry, computed with PBE-GGA.

The structure in POSCAR format:
```
ZnCoTeN2
1.0
-2.353 2.112 -2.157
-2.378 0.388 2.975
3.057 5.208 1.765
Zn Te Co N
1 1 1 2
Direct
0.000 0.000 0.000
0.000 0.000 0.500
0.500 0.500 0.500
0.000 0.500 0.000
0.500 0.000 0.000
```

Values from the calculation:
The raw formation energy is 1.67 eV/atom. The space group is P4/mmm.


(5)
Crystalline Ge3Se2S at its relaxed geometry, computed with PBE-GGA.

The structure in POSCAR format:
```
Ge3Se2S
1.0
-4.829 4.060 -2.639
-4.963 -2.668 -3.884
-5.243 0.456 4.375
Ge Se S
6 4 2
Direct
0.421 0.660 0.758
0.258 0.000 0.245
0.579 0.340 0.242
0.919 0.660 0.242
0.081 0.340 0.758
0.742 0.000 0.755
0.000 0.000 0.000
0.500 0.000 0.500
0.164 0.671 0.500
0.836 0.329 0.500
0.668 0.665 0.000
0.332 0.335 0.000
```

Values from the calculation:
The raw formation energy is -0.20 eV/atom. The space group is C2/m.


(6)
Crystalline Ca3MnH at its relaxed geometry, computed with PBE-GGA.

The structure in POSCAR format:
```
Ca3MnH
1.0
-3.243 -3.575 -2.224
-2.159 -0.998 4.752
-3.614 3.803 -0.844
H Ca Mn
1 3 1
Direct
0.500 0.500 0.500
0.000 0.500 0.000
0.000 0.000 0.500
0.500 0.000 0.000
0.000 0.000 0.000
```

Values from the calculation:
The space group is Pm-3m. The calculated total energy is -2.7787 eV per atom.


(7)
Crystalline Al3PN at its relaxed geometry, computed with PBE-GGA.

The structure in POSCAR format:
```
Al3PN
1.0
4.593 0.000 0.000
0.000 4.593 0.000
0.000 0.000 4.593
P Al N
1 3 1
Direct
0.000 0.000 0.000
0.000 0.500 0.000
0.000 0.000 0.500
0.500 0.000 0.000
0.500 0.500 0.500
```

Values from the calculation:
The raw formation energy is 1.31 eV/atom. The space group is Pm-3m.


(8)
Crystalline PrPaRu at its relaxed geometry, computed with PBE-GGA.

The structure in POSCAR format:
```
PrPaRu
1.0
-2.588 1.066 -2.195
0.613 -2.813 -2.089
-2.823 -2.188 5.148
Pr Ru Pa
1 1 1
Direct
0.000 0.000 0.000
0.702 0.702 0.404
0.298 0.298 0.596
```

Values from the calculation:
The space group is I4mm. The energy of formation from the pure elements comes out at -262 meV per atom.


(9)
Crystalline Pm3Ho4Zn at its relaxed geometry, computed with PBE-GGA.

The structure in POSCAR format:
```
Pm3Ho4Zn
1.0
-2.793 2.225 -0.063
-2.205 -2.752 0.565
1.604 2.541 18.655
Zn Ho Pm
1 4 3
Direct
0.500 0.500 0.000
0.000 0.000 0.907
0.000 0.000 0.093
0.000 0.000 0.365
0.000 0.000 0.635
0.500 0.500 0.230
0.500 0.500 0.500
0.500 0.500 0.770
```

Values from the calculation:
The space group is P4/mmm. The energy of formation from the pure elements comes out at -74 meV per atom.


(10)
Crystalline CaPd3Pb3 at its relaxed geometry, computed with PBE-GGA.

The structure in POSCAR format:
```
CaPd3Pb3
1.0
6.800 -0.542 -0.487
0.560 6.886 0.111
0.497 0.080 6.891
Ca Pd Pb
2 6 6
Direct
0.000 0.274 0.726
0.000 0.726 0.274
0.253 0.000 0.000
0.754 0.500 0.000
0.754 0.000 0.500
0.246 0.500 0.000
0.246 0.000 0.500
0.747 0.000 0.000
0.500 0.247 0.753
0.500 0.256 0.256
0.500 0.744 0.744
0.000 0.233 0.233
0.000 0.767 0.767
0.500 0.753 0.247
```

Values from the calculation:
The space group is Cmmm. The energy of formation from the pure elements comes out at -374 meV per atom.


(11)
Crystalline SrWSeBr2 at its relaxed geometry, computed with PBE-GGA.

The structure in POSCAR format:
```
SrWSeBr2
1.0
5.325 0.000 0.000
0.000 5.325 0.000
0.000 0.000 4.865
Sr Se Br W
1 1 2 1
Direct
0.500 0.500 0.500
0.000 0.000 0.500
0.000 0.500 0.000
0.500 0.000 0.000
0.000 0.000 0.000
```

Values from the calculation:
The raw formation energy is -0.33 eV/atom. The space group is P4/mmm.


(12)
Crystalline TbPm3Sm6Ho2 at its relaxed geometry, computed with PBE-GGA.

The structure in POSCAR format:
```
TbPm3Sm6Ho2
1.0
-1.150 -5.826 1.972
-1.031 1.540 -5.977
11.764 -1.666 -1.368
Tb Pm Sm Ho
1 3 6 2
Direct
0.000 0.000 0.000
0.167 0.833 0.500
0.833 0.167 0.500
0.500 0.500 0.500
0.917 0.584 0.753
0.749 0.749 0.247
0.083 0.416 0.247
0.584 0.917 0.753
0.251 0.251 0.753
0.416 0.083 0.247
0.333 0.667 0.000
0.667 0.333 0.000
```

Values from the calculation:
The space group is C2/m. The energy of formation from the pure elements comes out at 15 meV per atom.